# 1
The following is a DFT calculation (PBEsol) of Li3FeF6 after structural relaxation.

```
Li3FeF6
1.0
4.642 0.000 0.000
0.000 4.846 0.000
0.000 -2.423 4.197
F Li Fe
6 3 1
Cartesian
3.489 -0.739 1.280 F
1.153 -1.684 2.916 F
3.489 1.684 2.916 F
1.153 3.367 0.000 F
1.153 0.739 1.280 F
3.489 1.479 0.000 F
2.321 0.000 0.000 Li
2.321 2.423 1.399 Li
2.321 0.000 2.798 Li
0.000 0.000 0.000 Fe
```

Formation energy without anion corrections (meV/atom): -2460
VASP energy (eV per cell): -51.0
ΔE to the lowest computed polymorph (eV/atom): 0.139

***

# 2
The following is a DFT calculation (PBEsol) of SrNiPd3 after structural relaxation.

```
SrNiPd3
1.0
4.974 0.000 0.000
0.000 4.974 0.000
0.000 0.000 4.974
Sr Ni Pd
1 1 3
Cartesian
0.000 0.000 0.000 Sr
2.487 2.487 2.487 Ni
2.487 0.000 0.000 Pd
0.000 2.487 0.000 Pd
0.000 0.000 2.487 Pd
```

VASP energy (eV per cell): -17.8
E_form (eV/atom): 1.61

***

no.,volume (Å³ per cell)
1,94.4
2,123.1